Record 1
! PBE Cd3GaRh, optimized geometry; values from VASP
&SYSTEM
  ibrav = 0, nat = 5, ntyp = 3
/
ATOMIC_SPECIES
Cd 112.41 Cd.upf
Ga 69.72 Ga.upf
Rh 102.91 Rh.upf
CELL_PARAMETERS angstrom
4.9416 0.0000 0.0000
0.0000 4.9416 0.0000
0.0000 0.0000 4.9416
ATOMIC_POSITIONS angstrom
Cd 0.0000 0.0000 2.4708
Cd 0.0000 2.4708 0.0000
Cd 2.4708 0.0000 0.0000
Ga 0.0000 0.0000 0.0000
Rh 2.4708 2.4708 2.4708
! Symmetry: No. 221
! ΔE_f in eV/atom: 0.77
! Calculated total energy in eV/atom: -1.856

---

Record 2
! PBE K2TiTe4Pb, optimized geometry; values from VASP
&SYSTEM
  ibrav = 0, nat = 8, ntyp = 4
/
ATOMIC_SPECIES
K 39.10 K.upf
Ti 47.87 Ti.upf
Te 127.60 Te.upf
Pb 207.20 Pb.upf
CELL_PARAMETERS angstrom
-4.3482 4.3482 3.9634
4.3482 -4.3482 3.9634
4.3482 4.3482 -3.9634
ATOMIC_POSITIONS angstrom
K 4.3482 0.0000 0.0000
K 0.0000 4.3482 0.0000
Ti 0.0000 0.0000 0.0000
Te 1.4745 -1.4745 1.6175
Te -1.4745 1.4745 1.6175
Te 2.8737 2.8737 2.3458
Te 1.4745 1.4745 6.3092
Pb 0.0000 0.0000 3.9634
! Symmetry: No. 121
! Calculated total energy in eV/atom: -4.054